TlSi2Hg: relaxed, PBE.

```
TlSi2Hg
1.0
3.8176 0.0000 0.0000
0.0000 5.0515 0.0000
-0.2535 0.0000 5.2204
Tl Si Hg
1 2 1
direct
0.0000 0.0000 0.0000
0.2550 0.5000 0.6393
0.7450 0.5000 0.3607
0.5000 0.0000 0.5000
```

## Properties
Size of the total moment   0.0 μB per formula unit
Theoretical density   7.61 g/cm3
E_form (uncorrected)   42.9 kJ per mole of atoms
Polymorph energy (0 for the lowest one)   272 meV per atom
Density of states at the Fermi level   1.80 states/eV/f.u.
Energy   -2.934 eV per atom

Tl2SiHg: relaxed, PBE.

```
Tl2SiHg
1.0
2.3536 -2.6854 0.0000
2.3536 2.6854 0.0000
0.0000 0.0000 8.3361
Tl Si Hg
2 1 1
direct
0.0000 0.0000 0.0000
0.5000 0.5000 0.3205
0.5000 0.5000 0.7591
0.0000 0.0000 0.5870
```

## Properties
Size of the total moment   0.0 μB per formula unit
Theoretical density   10.04 g/cm3
E_form (uncorrected)   28.8 kJ per mole of atoms
Polymorph energy (0 for the lowest one)   26 meV per atom
Density of states at the Fermi level   1.42 states/eV/f.u.
Energy   -2.316 eV per atom

TlSi2Hg: relaxed, PBE.

```
TlSi2Hg
1.0
3.1977 0.0000 0.0000
0.0000 5.1166 0.0000
0.0000 0.0000 5.3541
Tl Si Hg
1 2 1
direct
0.0000 0.0000 0.0000
0.0000 0.5000 0.5000
0.5000 0.5000 0.0000
0.5000 0.0000 0.5000
```

## Properties
Size of the total moment   0.0 μB per formula unit
Theoretical density   8.74 g/cm3
E_form (uncorrected)   60.8 kJ per mole of atoms
Polymorph energy (0 for the lowest one)   457 meV per atom
Density of states at the Fermi level   1.28 states/eV/f.u.
Energy   -2.748 eV per atom

TlSi2Hg2: relaxed, PBE.

```
TlSi2Hg2
1.0
-2.3465 2.3465 5.4008
2.3465 -2.3465 5.4008
2.3465 2.3465 -5.4008
Tl Si Hg
1 2 2
direct
0.0000 0.0000 0.0000
0.3917 0.3917 0.0000
0.6083 0.6083 0.0000
0.2500 0.7500 0.5000
0.7500 0.2500 0.5000
```

## Properties
Size of the total moment   0.0 μB per formula unit
Theoretical density   9.24 g/cm3
E_form (uncorrected)   31.3 kJ per mole of atoms
Polymorph energy (0 for the lowest one)   67 meV per atom
Density of states at the Fermi level   2.22 states/eV/f.u.
Energy   -2.439 eV per atom

TlSi2Hg: relaxed, PBE.

```
TlSi2Hg
1.0
-1.8376 2.1216 6.0345
1.8376 -2.1216 6.0345
1.8376 2.1216 -6.0345
Tl Si Hg
1 2 1
direct
0.0000 0.0000 0.0000
0.6121 0.6121 0.0000
0.7398 0.2398 0.5000
0.2991 0.7991 0.5000
```

## Properties
Size of the total moment   0.0 μB per formula unit
Theoretical density   8.14 g/cm3
E_form (uncorrected)   38.5 kJ per mole of atoms
Polymorph energy (0 for the lowest one)   226 meV per atom
Density of states at the Fermi level   1.55 states/eV/f.u.
Energy   -2.979 eV per atom

Tl2SiHg: relaxed, PBE.

```
Tl2SiHg
1.0
3.4662 0.0000 0.0000
0.0000 3.6609 0.0000
0.0000 0.0000 8.1976
Tl Si Hg
2 1 1
direct
0.0000 0.0000 0.0000
0.5000 0.5000 0.3185
0.5000 0.5000 0.7579
0.0000 0.0000 0.5859
```

## Properties
Size of the total moment   0.0 μB per formula unit
Theoretical density   10.18 g/cm3
E_form (uncorrected)   28.8 kJ per mole of atoms
Polymorph energy (0 for the lowest one)   26 meV per atom
Density of states at the Fermi level   1.36 states/eV/f.u.
Energy   -2.316 eV per atom